Compound: Ba2FeF
Source: Alexandria via LeMat-Bulk
Functional: PBE+U
Structure: optimized geometry

Cell lengths 5.6441, 5.6441, 5.6441 Å; angles 60.00, 60.00, 60.00 degrees
Element x y z (fractional)
F1 0.0000 0.0000 0.0000
Ba1 0.2500 0.2500 0.2500
Ba2 0.7500 0.7500 0.7500
Fe1 0.5000 0.5000 0.5000

## Properties
offset from the most stable computed form	299	meV/atom
raw total energy	-3.38	eV/atom